(1)
The following is a DFT calculation (PBE) of CoRu2 after structural relaxation.

Structure (CIF):
```
data_CoRu2
_cell_length_a 2.6968
_cell_length_b 4.9471
_cell_length_c 6.2073
_cell_angle_alpha 76.28
_cell_angle_beta 90.00
_cell_angle_gamma 74.18
_space_group_name_H-M_alt 'P 1'
_space_group_IT_number 1
loop_
_space_group_symop_operation_xyz
'x,y,z'
loop_
_atom_site_label
_atom_site_type_symbol
_atom_site_fract_x
_atom_site_fract_y
_atom_site_fract_z
_atom_site_occupancy
Co1 Co 0.6675 0.6650 0.3354 1
Co2 Co 0.6103 0.7795 0.7201 1
Ru1 Ru 0.3290 0.3420 0.6626 1
Ru2 Ru 0.0009 0.9982 0.9950 1
Ru3 Ru 0.9488 0.1025 0.3930 1
Ru4 Ru 0.2769 0.4463 0.0606 1
```

Values from the calculation:
The value obtained for the formation energy is 85 meV per atom. The value obtained for the size of the total moment is 1.9 μB/cell. The symmetry is C2/m, No. 12. The total energy is -8.468 eV/atom. Its crystal system is monoclinic.

---

(2)
The following is a DFT calculation (PBE) of Mn2CuN after structural relaxation.

Structure (CIF):
```
data_Mn2CuN
_cell_length_a 2.7869
_cell_length_b 2.7869
_cell_length_c 6.5861
_cell_angle_alpha 77.79
_cell_angle_beta 77.79
_cell_angle_gamma 60.00
_space_group_name_H-M_alt 'P 1'
_space_group_IT_number 1
loop_
_space_group_symop_operation_xyz
'x,y,z'
loop_
_atom_site_label
_atom_site_type_symbol
_atom_site_fract_x
_atom_site_fract_y
_atom_site_fract_z
_atom_site_occupancy
Mn1 Mn 0.2757 0.2757 0.1728 1
Mn2 Mn 0.0584 0.0584 0.8248 1
Cu1 Cu 0.4995 0.4995 0.5014 1
N1 N 0.6664 0.6664 0.0009 1
```

Values from the calculation:
The calculation puts the formation energy without anion corrections at -0.07 eV per atom. The value obtained for the size of the total moment is 4.7 μB/cell. The symmetry is R3m, No. 160. The total energy is -7.758 eV/atom. Its crystal system is trigonal.

---

(3)
The following is a DFT calculation (PBE) of BaTcNO2 after structural relaxation.

Structure (CIF):
```
data_BaTcNO2
_cell_length_a 4.5184
_cell_length_b 4.5184
_cell_length_c 4.7523
_cell_angle_alpha 90.00
_cell_angle_beta 90.00
_cell_angle_gamma 90.00
_space_group_name_H-M_alt 'P 1'
_space_group_IT_number 1
loop_
_space_group_symop_operation_xyz
'x,y,z'
loop_
_atom_site_label
_atom_site_type_symbol
_atom_site_fract_x
_atom_site_fract_y
_atom_site_fract_z
_atom_site_occupancy
N1 N 0.0000 0.0000 0.5000 1
Tc1 Tc 0.5000 0.5000 0.5000 1
O1 O 0.0000 0.5000 0.0000 1
O2 O 0.5000 0.0000 0.0000 1
Ba1 Ba 0.0000 0.0000 0.0000 1
```

Values from the calculation:
The calculation puts the formation energy without anion corrections at 1.27 eV per atom. The value obtained for the size of the total moment is 5.0 μB/cell. The symmetry is P4/mmm, No. 123. The total energy is -4.834 eV/atom. Its crystal system is tetragonal.

---

(4)
The following is a DFT calculation (PBE) of LiZn2Ga after structural relaxation.

Structure (CIF):
```
data_LiZn2Ga
_cell_length_a 3.8922
_cell_length_b 3.9522
_cell_length_c 3.9522
_cell_angle_alpha 90.00
_cell_angle_beta 90.00
_cell_angle_gamma 90.00
_space_group_name_H-M_alt 'P 1'
_space_group_IT_number 1
loop_
_space_group_symop_operation_xyz
'x,y,z'
loop_
_atom_site_label
_atom_site_type_symbol
_atom_site_fract_x
_atom_site_fract_y
_atom_site_fract_z
_atom_site_occupancy
Zn1 Zn 0.0000 0.5000 0.0000 1
Zn2 Zn 0.0000 0.0000 0.5000 1
Ga1 Ga 0.5000 0.5000 0.5000 1
Li1 Li 0.5000 0.0000 0.0000 1
```

Values from the calculation:
The value obtained for the formation energy is -147 meV per atom. The value obtained for the size of the total moment is 0.0 μB/cell. The symmetry is P4/mmm, No. 123. The total energy is -2.019 eV/atom. Its crystal system is tetragonal.

---

> Which of these has the highest size of the total moment?

BaTcNO2

---

> Among the records above, which one has the lowest size of the total moment?

LiZn2Ga

---

> Among the records above, which one has the highest size of the total moment?

BaTcNO2

---

> The lowest size of the total moment belongs to which entry?

LiZn2Ga